# ZrVAgO5 PBE+U optimized geometry
data_ZrVAgO5
_chemical_formula_sum 'Zr2 V2 Ag2 O10'
_cell_length_a 5.9475
_cell_length_b 5.9475
_cell_length_c 7.9439
_cell_angle_alpha 107.48
_cell_angle_beta 107.48
_cell_angle_gamma 96.98
_symmetry_space_group_name_H-M 'P 1'
_symmetry_Int_Tables_number 1
_symmetry_space_group_name_Hall 'P 1'
loop_
_atom_site_label
_atom_site_type_symbol
_atom_site_fract_x
_atom_site_fract_y
_atom_site_fract_z
_atom_site_occupancy
Zr1 Zr 0.0000 0.0000 0.5000 1
Zr2 Zr 0.0000 0.0000 0.0000 1
V1 V 0.6540 0.3460 0.2500 1
V2 V 0.3460 0.6540 0.7500 1
Ag1 Ag 0.3134 0.6866 0.2500 1
Ag2 Ag 0.6866 0.3134 0.7500 1
O1 O 0.0642 0.9358 0.2500 1
O2 O 0.9358 0.0642 0.7500 1
O3 O 0.8114 0.2717 0.0965 1
O4 O 0.1886 0.7283 0.9035 1
O5 O 0.7283 0.1886 0.4035 1
O6 O 0.2717 0.8114 0.5965 1
O7 O 0.7385 0.6593 0.3761 1
O8 O 0.2615 0.3407 0.6239 1
O9 O 0.3407 0.2615 0.1239 1
O10 O 0.6593 0.7385 0.8761 1
# Electronic total energy   -120.3 eV per cell
# Total magnetic moment   0.00 μB per formula unit
# Symmetry   C2/c, No. 15
# Calculated density   4.4 g/cm³